[1]
LiTiPd3 PBE relaxed; energy of formation = -0.2438 eV/atom; energy above the most stable polymorph in this dataset = 0.277 eV per atom
1.0
-2.2899 4.1505 4.5101
-4.8236 3.6298 -1.7214
-2.0034 -2.5335 5.3828
Li Ti Pd
2 2 6
Direct
0.2500 0.5018 0.4982
0.7500 0.4982 0.5018
0.2500 0.1857 0.8143
0.7500 0.8143 0.1857
0.2525 0.9303 0.4462
0.2475 0.5537 0.0697
0.7525 0.4463 0.9303
0.7475 0.0697 0.5538
0.0000 0.0000 0.0000
0.5000 0.0000 0.0000

[2]
LiTi2Pd3 PBE relaxed; energy of formation = -0.5069 eV/atom; energy above the most stable polymorph in this dataset = 0.017 eV per atom
1.0
4.0565 0.0007 -0.0008
-2.0276 4.1494 0.4363
-0.0019 1.2137 10.8476
Li Ti Pd
2 4 6
Direct
0.3307 0.6617 0.6665
0.6693 0.3383 0.3335
0.0000 0.0000 0.5000
0.3366 0.6730 0.1714
0.6634 0.3270 0.8286
0.0000 0.0000 0.0000
0.3356 0.6711 0.4192
0.6695 0.3387 0.0840
0.9942 0.9884 0.7466
0.0058 0.0116 0.2534
0.3305 0.6613 0.9160
0.6644 0.3289 0.5808

[3]
LiTi4Pd5 PBE relaxed; energy of formation = -0.5341 eV/atom
1.0
-2.0398 0.0149 2.0626
-1.6268 -1.7949 -1.5959
7.9057 -14.2086 7.9213
Li Ti Pd
1 4 5
Direct
0.0000 0.0000 0.0000
0.0000 0.0000 0.1868
0.0000 0.0000 0.3959
0.0000 0.0000 0.6041
0.0000 0.0000 0.8132
0.5000 0.5000 0.0902
0.5000 0.5000 0.2916
0.5000 0.5000 0.5000
0.5000 0.5000 0.7084
0.5000 0.5000 0.9098

[4]
LiTi2Pd4 PBE relaxed; energy of formation = -0.4167 eV/atom; energy above the most stable polymorph in this dataset = 0.000 eV per atom
1.0
-4.5927 1.4669 -4.9751
-4.5125 -1.7639 4.9821
4.3976 5.2810 -1.0227
Li Ti Pd
2 4 8
Direct
0.1161 0.6159 0.4997
0.1339 0.1341 0.0003
0.6250 0.3750 0.7500
0.6250 0.8750 0.2500
0.6250 0.3750 0.2500
0.1250 0.3750 0.7500
0.8923 0.1381 0.2458
0.3577 0.6119 0.2542
0.8926 0.6467 0.7543
0.7745 0.0337 0.7395
0.2944 0.0357 0.2609
0.3574 0.1033 0.7457
0.4755 0.7163 0.7605
0.9556 0.7143 0.2392

[5]
LiTi2Pd2 PBE relaxed; energy of formation = -0.3368 eV/atom; energy above the most stable polymorph in this dataset = 0.036 eV per atom
1.0
-6.5387 -3.9825 -1.1361
4.1347 -6.1565 -2.2154
0.0856 -0.8986 2.6572
Li Pd Ti
2 4 4
Direct
0.0000 0.0000 0.0000
0.5000 0.5000 0.0000
0.1496 0.6496 0.5000
0.6496 0.8504 0.5000
0.8504 0.3504 0.5000
0.3504 0.1496 0.5000
0.3535 0.8535 0.0000
0.8535 0.6465 0.0000
0.6465 0.1465 0.0000
0.1465 0.3535 0.0000

[6]
Li2TiPd PBE relaxed; energy of formation = 0.0512 eV/atom; energy above the most stable polymorph in this dataset = 0.081 eV per atom
1.0
2.6643 -0.5410 3.3703
1.7894 3.4441 1.9199
-1.2690 1.1671 3.9721
Li Pd Ti
2 1 1
Direct
0.2500 0.2500 0.2500
0.7500 0.7500 0.7500
0.5000 0.5000 0.5000
0.0000 0.0000 0.0000

[7]
LiTi2Pd8 PBE relaxed; energy of formation = -0.4594 eV/atom; energy above the most stable polymorph in this dataset = 0.030 eV per atom
1.0
-2.4042 3.4121 0.1692
1.6630 1.5176 -6.9722
-4.0030 -5.4625 1.7058
Li Ti Pd
1 2 8
Direct
0.5000 0.0000 0.0000
0.2028 0.7028 0.4056
0.7972 0.2972 0.5944
0.6581 0.8743 0.3162
0.3419 0.5581 0.6838
0.1377 0.1377 0.2754
0.0000 0.3160 0.0000
0.8623 0.8623 0.7246
0.6581 0.4419 0.3162
0.3419 0.1257 0.6838
0.0000 0.6840 0.0000

[8]
LiTiPd4 PBE relaxed; energy of formation = -0.4754 eV/atom; energy above the most stable polymorph in this dataset = 0.000 eV per atom
1.0
-1.7126 -3.0827 -2.0471
2.6895 4.3598 -4.7543
3.3265 -6.7530 7.3862
Li Ti Pd
2 2 8
Direct
0.5000 0.5000 0.0000
0.0000 0.5000 0.5000
0.2500 0.0000 0.2500
0.7500 0.0000 0.7500
0.9999 0.4999 0.1532
0.5001 0.5001 0.3468
0.0001 0.5001 0.8468
0.4999 0.4999 0.6532
0.2505 0.0009 0.5978
0.2495 0.9991 0.9022
0.7495 0.9991 0.4022
0.7505 0.0009 0.0978